Entry 1:
Entry from Alexandria via LeMat-Bulk: TiPd2RuN at its PBEsol-relaxed geometry (SCAN).

abc: 4.6663 4.6663 3.6934
angles: 90.00 90.00 90.00
Space group P4/mmm (No. 123)
Unique sites:
Ti 0.0000 0.0000 0.0000 (multiplicity 1)
Pd 0.0000 0.5000 0.0000 (multiplicity 2)
Ru 0.5000 0.5000 0.5000 (multiplicity 1)
N 0.0000 0.0000 0.5000 (multiplicity 1)

Magnetization   3.02 μB per formula unit

Entry 2:
Entry from Alexandria via LeMat-Bulk: SnSb2TeRu at its PBEsol-relaxed geometry (SCAN).

abc: 4.9478 4.9478 5.6203
angles: 90.00 90.00 90.00
Space group P4/mmm (No. 123)
Unique sites:
Sn 0.0000 0.0000 0.0000 (multiplicity 1)
Sb 0.0000 0.5000 0.5000 (multiplicity 2)
Te 0.5000 0.5000 0.0000 (multiplicity 1)
Ru 0.5000 0.5000 0.5000 (multiplicity 1)

Magnetization   0.00 μB per formula unit

no.,formation energy (no corrections) (eV/atom),uncorrected energy (eV/atom)
1,0.7894,-24.35
2,0.3963,-36.11